The following is a DFT calculation (PBE-GGA) of a relaxed structure of Sm4O3F4.

The structure in extended XYZ format:
```
11
Lattice="-1.138 -3.351 0.933 5.308 -0.396 5.053 -3.699 2.390 4.073" Properties=species:S:1:pos:R:3 pbc="T T T"
F -0.028 0.817 2.902
F 2.483 0.630 5.293
F -0.181 -0.409 5.488
F -2.858 -0.196 2.987
O -1.032 2.184 6.585
O -3.006 0.620 5.737
O -0.218 0.412 8.391
Sm 1.298 -1.364 3.860
Sm -1.383 -1.149 1.362
Sm -1.586 1.776 4.445
Sm 1.093 1.576 6.996
```

Output
**Calculated total energy**: -7.226 eV/atom
**SG**: No. 25
**ρ**: 7.48 Mg/m³